[1]
Computed, not measured: an optimized crystal structure of CaIn3Ir2 at the PBE level of DFT.

CIF file:
```
data_CaIn3Ir2
_cell_length_a 6.2550
_cell_length_b 6.2550
_cell_length_c 22.2519
_cell_angle_alpha 90.00
_cell_angle_beta 90.00
_cell_angle_gamma 120.00
_space_group_name_H-M_alt 'R -3 m'
_space_group_IT_number 166
_space_group_name_Hall '-R 3 2"'
loop_
_atom_site_label
_atom_site_type_symbol
_atom_site_fract_x
_atom_site_fract_y
_atom_site_fract_z
Ca1 Ca 0.0000 0.0000 0.2236
In1 In 0.0034 0.5017 0.2379
Ir1 Ir 0.0000 0.0000 0.0000
Ir2 Ir 0.0000 0.5000 0.0000
```

Summary:
For the density of states at the Fermi level, the calculation gives 19.3 states/eV/cell. The electronic total energy is -4.6903 eV per atom.

[2]
Computed, not measured: an optimized crystal structure of CaIn6Ir at the PBE level of DFT.

CIF file:
```
data_CaIn6Ir
_cell_length_a 4.410
_cell_length_b 8.442
_cell_length_c 10.370
_cell_angle_alpha 90.00
_cell_angle_beta 90.00
_cell_angle_gamma 90.00
_space_group_name_H-M_alt 'A m m 2'
_space_group_IT_number 38
loop_
_space_group_symop_operation_xyz
'x,y,z'
'-x,-y,z'
'-x,y,z'
'x,-y,z'
'x,y+1/2,z+1/2'
'-x,-y+1/2,z+1/2'
'-x,y+1/2,z+1/2'
'x,-y+1/2,z+1/2'
loop_
_atom_site_label
_atom_site_type_symbol
_atom_site_fract_x
_atom_site_fract_y
_atom_site_fract_z
Ca1 Ca 0.000 0.000 0.000
In1 In 0.000 0.230 0.267
In2 In 0.500 0.000 0.220
In3 In 0.500 0.000 0.778
In4 In 0.500 0.186 0.502
Ir1 Ir 0.000 0.000 0.612
```

Summary:
For the density of states at the Fermi level, the calculation gives 6.2 states/eV/cell. The electronic total energy is -3.5208 eV per atom.

[3]
Computed, not measured: an optimized crystal structure of CaIn2Ir at the PBE level of DFT.

CIF file:
```
data_CaIn2Ir
_cell_length_a 8.034
_cell_length_b 4.641
_cell_length_c 5.881
_cell_angle_alpha 90.00
_cell_angle_beta 117.01
_cell_angle_gamma 90.00
_space_group_name_H-M_alt 'C 1 m 1'
_space_group_IT_number 8
loop_
_space_group_symop_operation_xyz
'x,y,z'
'x,-y,z'
'x+1/2,y+1/2,z'
'x+1/2,-y+1/2,z'
loop_
_atom_site_label
_atom_site_type_symbol
_atom_site_fract_x
_atom_site_fract_y
_atom_site_fract_z
Ca1 Ca 0.000 0.000 0.000
In1 In 0.211 0.000 0.633
In2 In 0.446 0.000 0.339
Ir1 Ir 0.314 0.500 0.440
```

Summary:
For the density of states at the Fermi level, the calculation gives 3.4 states/eV/cell. The electronic total energy is -4.4195 eV per atom.

[4]
Computed, not measured: an optimized crystal structure of CaIn9Ir2 at the PBE level of DFT.

CIF file:
```
data_CaIn9Ir2
_cell_length_a 12.364
_cell_length_b 12.364
_cell_length_c 7.333
_cell_angle_alpha 90.00
_cell_angle_beta 90.00
_cell_angle_gamma 90.00
_space_group_name_H-M_alt 'I 41/a m d'
_space_group_IT_number 141
loop_
_space_group_symop_operation_xyz
'x,y,z'
'-x,-y,-z'
'-y+1/4,x+3/4,z+1/4'
'y+1/4,-x+3/4,-z+1/4'
'-x+1/2,-y,z+1/2'
'x+1/2,y,-z+1/2'
'y+1/4,-x+1/4,z+3/4'
'-y+1/4,x+1/4,-z+3/4'
'x,-y,-z'
'-x,y,z'
'-y+1/4,-x+1/4,-z+3/4'
'y+1/4,x+1/4,z+3/4'
'-x+1/2,y,-z+1/2'
'x+1/2,-y,z+1/2'
'y+1/4,x+3/4,-z+1/4'
'-y+1/4,-x+3/4,z+1/4'
'x+1/2,y+1/2,z+1/2'
'-x+1/2,-y+1/2,-z+1/2'
'-y+3/4,x+1/4,z+3/4'
'y+3/4,-x+1/4,-z+3/4'
'-x,-y+1/2,z'
'x,y+1/2,-z'
'y+3/4,-x+3/4,z+1/4'
'-y+3/4,x+3/4,-z+1/4'
'x+1/2,-y+1/2,-z+1/2'
'-x+1/2,y+1/2,z+1/2'
'-y+3/4,-x+3/4,-z+1/4'
'y+3/4,x+3/4,z+1/4'
'-x,y+1/2,-z'
'x,-y+1/2,z'
'y+3/4,x+1/4,-z+3/4'
'-y+3/4,-x+1/4,z+3/4'
loop_
_atom_site_label
_atom_site_type_symbol
_atom_site_fract_x
_atom_site_fract_y
_atom_site_fract_z
Ca1 Ca 0.000 0.250 0.375
In1 In 0.000 0.250 0.875
In2 In 0.120 0.066 0.672
Ir1 Ir 0.000 0.000 0.000
```

Summary:
For the density of states at the Fermi level, the calculation gives 21.8 states/eV/cell. The electronic total energy is -3.7621 eV per atom.

[5]
Computed, not measured: an optimized crystal structure of Ca3In9Ir2 at the PBE level of DFT.

CIF file:
```
data_Ca3In9Ir2
_cell_length_a 4.629
_cell_length_b 11.023
_cell_length_c 13.079
_cell_angle_alpha 90.00
_cell_angle_beta 90.00
_cell_angle_gamma 90.00
_space_group_name_H-M_alt 'I m m m'
_space_group_IT_number 71
_space_group_name_Hall '-I 2 2'
loop_
_atom_site_label
_atom_site_type_symbol
_atom_site_fract_x
_atom_site_fract_y
_atom_site_fract_z
Ca1 Ca 0.000 0.000 0.000
Ca2 Ca 0.000 0.000 0.301
In1 In 0.000 0.290 0.133
In2 In 0.000 0.365 0.360
In3 In 0.000 0.500 0.000
Ir1 Ir 0.000 0.160 0.500
```

Summary:
For the density of states at the Fermi level, the calculation gives 9.8 states/eV/cell. The electronic total energy is -3.7299 eV per atom.

[6]
Computed, not measured: an optimized crystal structure of CaIn2Ir at the PBE level of DFT.

CIF file:
```
data_CaIn2Ir
_cell_length_a 3.307
_cell_length_b 4.700
_cell_length_c 5.885
_cell_angle_alpha 90.00
_cell_angle_beta 103.10
_cell_angle_gamma 90.00
_space_group_name_H-M_alt 'P 1 2/m 1'
_space_group_IT_number 10
loop_
_space_group_symop_operation_xyz
'x,y,z'
'-x,-y,-z'
'-x,y,-z'
'x,-y,z'
loop_
_atom_site_label
_atom_site_type_symbol
_atom_site_fract_x
_atom_site_fract_y
_atom_site_fract_z
Ca1 Ca 0.000 0.000 0.000
In1 In 0.368 0.500 0.725
Ir1 Ir 0.500 0.000 0.500
```

Summary:
For the density of states at the Fermi level, the calculation gives 2.3 states/eV/cell. The electronic total energy is -4.2312 eV per atom.

[7]
Computed, not measured: an optimized crystal structure of CaIn12Ir6 at the PBE level of DFT.

CIF file:
```
data_CaIn12Ir6
_cell_length_a 12.6025
_cell_length_b 12.6025
_cell_length_c 9.1540
_cell_angle_alpha 90.00
_cell_angle_beta 90.00
_cell_angle_gamma 120.00
_space_group_name_H-M_alt 'R -3 m'
_space_group_IT_number 166
_space_group_name_Hall '-R 3 2"'
loop_
_atom_site_label
_atom_site_type_symbol
_atom_site_fract_x
_atom_site_fract_y
_atom_site_fract_z
Ca1 Ca 0.0000 0.0000 0.0000
In1 In 0.0000 0.3788 0.5000
In2 In 0.0876 0.1753 0.3221
Ir1 Ir 0.0546 0.5273 0.2584
```

Summary:
For the density of states at the Fermi level, the calculation gives 24.8 states/eV/cell. The electronic total energy is -4.7500 eV per atom.

[8]
Computed, not measured: an optimized crystal structure of CaIn2Ir at the PBE level of DFT.

CIF file:
```
data_CaIn2Ir
_cell_length_a 5.885
_cell_length_b 9.073
_cell_length_c 3.219
_cell_angle_alpha 90.00
_cell_angle_beta 90.00
_cell_angle_gamma 90.00
_space_group_name_H-M_alt 'C m m m'
_space_group_IT_number 65
_space_group_name_Hall '-C 2 2'
loop_
_atom_site_label
_atom_site_type_symbol
_atom_site_fract_x
_atom_site_fract_y
_atom_site_fract_z
Ca1 Ca 0.000 0.000 0.000
In1 In 0.250 0.250 0.500
Ir1 Ir 0.000 0.500 0.000
```

Summary:
For the density of states at the Fermi level, the calculation gives 5.9 states/eV/cell. The electronic total energy is -4.0281 eV per atom.

For the records above, the corresponding formation energy values read -0.034, -0.109, -0.335, -0.065, -0.275, -0.146, -0.117, 0.057 eV per atom.